Record 1
DFT (PBE) results for CsInSnBr4 after structural relaxation.

a = 9.670 Å, b = 9.670 Å, c = 9.670 Å
α = 144.67°, β = 144.67°, γ = 50.83°
Fractional positions:
Cs1 0.000 0.000 0.000
In1 0.716 0.716 0.000
Sn1 0.360 0.360 0.000
Br1 0.201 0.201 0.000
Br2 0.361 0.861 0.500
Br3 0.549 0.549 0.000
Br4 0.861 0.361 0.500

Summary:
* volume: 301 Å³ per cell
* raw formation energy: -1.017 eV/atom
* VASP energy: -21.4 eV/cell


Record 2
DFT (PBE) results for ErAl2TeO8 after structural relaxation.

a = 5.699 Å, b = 5.699 Å, c = 5.699 Å
α = 108.24°, β = 108.24°, γ = 111.97°
Fractional positions:
Er1 0.000 0.000 0.000
Al1 0.500 0.500 0.000
Al2 0.750 0.250 0.500
Te1 0.250 0.750 0.500
O1 0.315 0.115 0.800
O2 0.315 0.514 0.200
O3 0.369 0.044 0.325
O4 0.486 0.685 0.800
O5 0.718 0.044 0.675
O6 0.885 0.685 0.200
O7 0.956 0.282 0.325
O8 0.956 0.631 0.675

Summary:
* volume: 142 Å³ per cell
* raw formation energy: -2.016 eV/atom
* VASP energy: -79.1 eV/cell


Record 3
DFT (PBE) results for ThZn6Ag12 after structural relaxation.

a = 7.419 Å, b = 7.419 Å, c = 7.419 Å
α = 104.53°, β = 104.53°, γ = 104.53°
Fractional positions:
Th1 0.000 0.000 0.000
Zn1 0.276 0.276 0.704
Zn2 0.276 0.704 0.276
Zn3 0.296 0.724 0.724
Zn4 0.704 0.276 0.276
Zn5 0.724 0.296 0.724
Zn6 0.724 0.724 0.296
Ag1 0.116 0.500 0.884
Ag2 0.116 0.884 0.500
Ag3 0.137 0.388 0.388
Ag4 0.388 0.137 0.388
Ag5 0.388 0.388 0.137
Ag6 0.500 0.116 0.884
Ag7 0.500 0.884 0.116
Ag8 0.612 0.612 0.863
Ag9 0.612 0.863 0.612
Ag10 0.863 0.612 0.612
Ag11 0.884 0.116 0.500
Ag12 0.884 0.500 0.116

Summary:
* volume: 361 Å³ per cell
* VASP energy: -47.7 eV/cell